No. 1
# Y10Al3Pd GGA-PBE relaxed
# Energy   -6.12 eV/atom
data_Y10Al3Pd
_chemical_formula_sum 'Y20 Al6 Pd2'
_symmetry_space_group_name_H-M 'P 63/m m c'
_symmetry_Int_Tables_number 194
_symmetry_space_group_name_Hall '-P 6c 2c'
_cell_length_a 9.6603
_cell_length_b 9.6603
_cell_length_c 9.5689
_cell_angle_alpha 90.00
_cell_angle_beta 90.00
_cell_angle_gamma 120.00
loop_
_atom_site_label
_atom_site_type_symbol
_atom_site_fract_x
_atom_site_fract_y
_atom_site_fract_z
_atom_site_occupancy
Y1 Y 0.0000 0.0000 0.0000 1
Y2 Y 0.0859 0.5430 0.2500 1
Y3 Y 0.2047 0.4095 0.5568 1
Al1 Al 0.1137 0.2275 0.2500 1
Pd1 Pd 0.3333 0.6667 0.7500 1

***

No. 2
# Pr4DyCo2B6 GGA-PBE relaxed
# Energy   -6.41 eV/atom
data_Pr4DyCo2B6
_chemical_formula_sum 'Pr12 Dy3 Co6 B18'
_symmetry_space_group_name_H-M 'R -3 m'
_symmetry_Int_Tables_number 166
_symmetry_space_group_name_Hall '-R 3 2"'
_cell_length_a 5.4677
_cell_length_b 5.4677
_cell_length_c 24.4881
_cell_angle_alpha 90.00
_cell_angle_beta 90.00
_cell_angle_gamma 120.00
loop_
_atom_site_label
_atom_site_type_symbol
_atom_site_fract_x
_atom_site_fract_y
_atom_site_fract_z
_atom_site_occupancy
Pr1 Pr 0.0000 0.0000 0.0844 1
Pr2 Pr 0.0000 0.0000 0.2477 1
Dy1 Dy 0.0000 0.0000 0.5000 1
Co1 Co 0.0000 0.0000 0.3775 1
B1 B 0.0000 0.3331 0.0000 1

***

No. 3
# Hf4PAuC2 GGA-PBE relaxed
# Energy   -9.28 eV/atom
data_Hf4PAuC2
_chemical_formula_sum 'Hf4 P1 Au1 C2'
_symmetry_space_group_name_H-M 'P -6 m 2'
_symmetry_Int_Tables_number 187
_symmetry_space_group_name_Hall 'P -6 2'
_cell_length_a 3.3556
_cell_length_b 3.3556
_cell_length_c 13.0289
_cell_angle_alpha 90.00
_cell_angle_beta 90.00
_cell_angle_gamma 120.00
loop_
_atom_site_label
_atom_site_type_symbol
_atom_site_fract_x
_atom_site_fract_y
_atom_site_fract_z
_atom_site_occupancy
Hf1 Hf 0.0000 0.0000 0.1367 1
Hf2 Hf 0.6667 0.3333 0.3311 1
P1 P 0.6667 0.3333 0.0000 1
Au1 Au 0.0000 0.0000 0.5000 1
C1 C 0.3333 0.6667 0.2344 1

***

No. 4
# ZnCoH6 GGA-PBE relaxed
# Energy   -3.38 eV/atom
data_ZnCoH6
_chemical_formula_sum 'Zn1 Co1 H6'
_symmetry_space_group_name_H-M 'P -1'
_symmetry_Int_Tables_number 2
_symmetry_space_group_name_Hall '-P 1'
_cell_length_a 2.977
_cell_length_b 4.437
_cell_length_c 4.564
_cell_angle_alpha 106.89
_cell_angle_beta 105.21
_cell_angle_gamma 105.20
loop_
_atom_site_label
_atom_site_type_symbol
_atom_site_fract_x
_atom_site_fract_y
_atom_site_fract_z
_atom_site_occupancy
Zn1 Zn 0.000 0.000 0.000 1
Co1 Co 0.500 0.000 0.500 1
H1 H 0.133 0.189 0.629 1
H2 H 0.271 0.664 0.199 1
H3 H 0.436 0.738 0.671 1

***

No. 5
# GdYAg2Te4 GGA-PBE relaxed
# Energy   -4.60 eV/atom
data_GdYAg2Te4
_chemical_formula_sum 'Gd2 Y2 Ag4 Te8'
_symmetry_space_group_name_H-M 'C m m 2'
_symmetry_Int_Tables_number 35
_symmetry_space_group_name_Hall 'C 2 -2'
_cell_length_a 10.067
_cell_length_b 10.086
_cell_length_c 4.735
_cell_angle_alpha 90.00
_cell_angle_beta 90.00
_cell_angle_gamma 90.00
loop_
_atom_site_label
_atom_site_type_symbol
_atom_site_fract_x
_atom_site_fract_y
_atom_site_fract_z
_atom_site_occupancy
Gd1 Gd 0.000 0.000 0.000 1
Y1 Y 0.000 0.500 0.390 1
Ag1 Ag 0.250 0.250 0.194 1
Te1 Te 0.000 0.203 0.484 1
Te2 Te 0.200 0.500 0.905 1

***

No. 6
# NbF5 GGA-PBE relaxed
# Energy   -6.10 eV/atom
data_NbF5
_chemical_formula_sum 'Nb2 F10'
_symmetry_space_group_name_H-M 'P 63/m m c'
_symmetry_Int_Tables_number 194
_symmetry_space_group_name_Hall '-P 6c 2c'
_cell_length_a 5.5694
_cell_length_b 5.5694
_cell_length_c 6.2002
_cell_angle_alpha 90.00
_cell_angle_beta 90.00
_cell_angle_gamma 120.00
loop_
_atom_site_label
_atom_site_type_symbol
_atom_site_fract_x
_atom_site_fract_y
_atom_site_fract_z
_atom_site_occupancy
Nb1 Nb 0.3333 0.6667 0.2500 1
F1 F 0.1427 0.2854 0.2500 1
F2 F 0.3333 0.6667 0.5592 1

***

No. 7
# HfUPd GGA-PBE relaxed
# Energy   -8.49 eV/atom
# Distance to the lowest polymorph of the same formula   0 meV/atom
data_HfUPd
_chemical_formula_sum 'Hf4 U4 Pd4'
_symmetry_space_group_name_H-M 'F -4 3 m'
_symmetry_Int_Tables_number 216
_symmetry_space_group_name_Hall 'F -4 2 3'
_cell_length_a 6.611
_cell_length_b 6.611
_cell_length_c 6.611
_cell_angle_alpha 90.00
_cell_angle_beta 90.00
_cell_angle_gamma 90.00
loop_
_atom_site_label
_atom_site_type_symbol
_atom_site_fract_x
_atom_site_fract_y
_atom_site_fract_z
_atom_site_occupancy
Hf1 Hf 0.000 0.000 0.000 1
U1 U 0.000 0.000 0.500 1
Pd1 Pd 0.250 0.250 0.250 1

***

No. 8
# Cu7Au3 GGA-PBE relaxed
# Energy   -3.60 eV/atom
data_Cu7Au3
_chemical_formula_sum 'Cu28 Au12'
_symmetry_space_group_name_H-M 'P -1'
_symmetry_Int_Tables_number 2
_symmetry_space_group_name_Hall '-P 1'
_cell_length_a 6.564
_cell_length_b 8.971
_cell_length_c 9.894
_cell_angle_alpha 106.40
_cell_angle_beta 96.56
_cell_angle_gamma 90.78
loop_
_atom_site_label
_atom_site_type_symbol
_atom_site_fract_x
_atom_site_fract_y
_atom_site_fract_z
_atom_site_occupancy
Cu1 Cu 0.000 0.000 0.000 1
Cu2 Cu 0.000 0.000 0.500 1
Cu3 Cu 0.036 0.981 0.249 1
Cu4 Cu 0.070 0.765 0.582 1
Cu5 Cu 0.150 0.573 0.728 1
Cu6 Cu 0.154 0.241 0.211 1
Cu7 Cu 0.156 0.540 0.197 1
Cu8 Cu 0.229 0.450 0.940 1
Cu9 Cu 0.248 0.856 0.837 1
Cu10 Cu 0.270 0.152 0.921 1
Cu11 Cu 0.308 0.142 0.443 1
Cu12 Cu 0.347 0.005 0.659 1
Cu13 Cu 0.447 0.706 0.634 1
Cu14 Cu 0.461 0.696 0.153 1
Cu15 Cu 0.470 0.411 0.633 1
Au1 Au 0.084 0.720 0.019 1
Au2 Au 0.140 0.265 0.686 1
Au3 Au 0.203 0.474 0.446 1
Au4 Au 0.311 0.830 0.392 1
Au5 Au 0.382 0.998 0.127 1
Au6 Au 0.485 0.368 0.124 1

***

No. 9
# TmZr2Cu4Si4 GGA-PBE relaxed
# Energy   -5.88 eV/atom
data_TmZr2Cu4Si4
_chemical_formula_sum 'Tm2 Zr4 Cu8 Si8'
_symmetry_space_group_name_H-M 'I m m m'
_symmetry_Int_Tables_number 71
_symmetry_space_group_name_Hall '-I 2 2'
_cell_length_a 3.956
_cell_length_b 6.501
_cell_length_c 13.187
_cell_angle_alpha 90.00
_cell_angle_beta 90.00
_cell_angle_gamma 90.00
loop_
_atom_site_label
_atom_site_type_symbol
_atom_site_fract_x
_atom_site_fract_y
_atom_site_fract_z
_atom_site_occupancy
Tm1 Tm 0.000 0.000 0.000 1
Zr1 Zr 0.000 0.500 0.124 1
Cu1 Cu 0.000 0.308 0.329 1
Si1 Si 0.000 0.000 0.219 1
Si2 Si 0.000 0.185 0.500 1

***

No. 10
# LaCuAsIr GGA-PBE relaxed
# Energy   -5.60 eV/atom
# Distance to the lowest polymorph of the same formula   240 meV/atom
data_LaCuAsIr
_chemical_formula_sum 'La4 Cu4 As4 Ir4'
_symmetry_space_group_name_H-M 'F -4 3 m'
_symmetry_Int_Tables_number 216
_symmetry_space_group_name_Hall 'F -4 2 3'
_cell_length_a 6.803
_cell_length_b 6.803
_cell_length_c 6.803
_cell_angle_alpha 90.00
_cell_angle_beta 90.00
_cell_angle_gamma 90.00
loop_
_atom_site_label
_atom_site_type_symbol
_atom_site_fract_x
_atom_site_fract_y
_atom_site_fract_z
_atom_site_occupancy
La1 La 0.000 0.000 0.000 1
Cu1 Cu 0.000 0.000 0.500 1
As1 As 0.250 0.250 0.750 1
Ir1 Ir 0.250 0.250 0.250 1

***

No. 11
# NdAsN2O GGA-PBE relaxed
# Energy   -6.92 eV/atom
data_NdAsN2O
_chemical_formula_sum 'Nd4 As4 N8 O4'
_symmetry_space_group_name_H-M 'I m a 2'
_symmetry_Int_Tables_number 46
_symmetry_space_group_name_Hall 'I 2 -2a'
_cell_length_a 7.889
_cell_length_b 5.473
_cell_length_c 5.369
_cell_angle_alpha 90.00
_cell_angle_beta 90.00
_cell_angle_gamma 90.00
loop_
_atom_site_label
_atom_site_type_symbol
_atom_site_fract_x
_atom_site_fract_y
_atom_site_fract_z
_atom_site_occupancy
Nd1 Nd 0.250 0.008 0.000 1
As1 As 0.000 0.000 0.500 1
N1 N 0.039 0.249 0.250 1
O1 O 0.250 0.568 0.002 1

***

No. 12
# LiAlAg GGA-PBE relaxed
# Energy   -2.82 eV/atom
# Distance to the lowest polymorph of the same formula   0 meV/atom
data_LiAlAg
_chemical_formula_sum 'Li4 Al4 Ag4'
_symmetry_space_group_name_H-M 'F -4 3 m'
_symmetry_Int_Tables_number 216
_symmetry_space_group_name_Hall 'F -4 2 3'
_cell_length_a 6.115
_cell_length_b 6.115
_cell_length_c 6.115
_cell_angle_alpha 90.00
_cell_angle_beta 90.00
_cell_angle_gamma 90.00
loop_
_atom_site_label
_atom_site_type_symbol
_atom_site_fract_x
_atom_site_fract_y
_atom_site_fract_z
_atom_site_occupancy
Li1 Li 0.000 0.000 0.000 1
Al1 Al 0.000 0.000 0.500 1
Ag1 Ag 0.250 0.250 0.750 1